[1]
{"formula": "RbIn", "functional": "PBE", "state": "relaxed", "cell": [[-5.258, 5.258, 3.362], [5.258, -5.258, 3.362], [5.258, 5.258, -3.362]], "species": ["Rb", "Rb", "Rb", "Rb", "In", "In", "In", "In"], "fractional_positions": [[0.000, 0.282, 0.282], [0.000, 0.718, 0.718], [0.282, 0.000, 0.282], [0.718, 0.000, 0.718], [0.360, 0.360, 0.720], [0.360, 0.640, 0.000], [0.640, 0.360, 0.000], [0.640, 0.640, 0.280]]}



[2]
{"formula": "Rb3In11", "functional": "PBE", "state": "relaxed", "cell": [[-2.593, 5.763, 7.502], [2.593, -5.763, 7.502], [2.593, 5.763, -7.502]], "species": ["Rb", "Rb", "Rb", "In", "In", "In", "In", "In", "In", "In", "In", "In", "In", "In"], "fractional_positions": [[0.000, 0.000, 0.000], [0.300, 0.300, 0.000], [0.700, 0.700, 0.000], [0.025, 0.661, 0.364], [0.135, 0.857, 0.278], [0.297, 0.661, 0.636], [0.313, 0.500, 0.813], [0.421, 0.143, 0.278], [0.500, 0.000, 0.500], [0.579, 0.857, 0.722], [0.687, 0.500, 0.187], [0.703, 0.339, 0.364], [0.865, 0.143, 0.722], [0.975, 0.339, 0.636]]}



[3]
{"formula": "RbIn", "functional": "PBE", "state": "relaxed", "cell": [[5.136, 0.000, 0.000], [2.568, 4.449, 0.000], [2.556, -1.436, 9.390]], "species": ["Rb", "Rb", "In", "In"], "fractional_positions": [[0.178, 0.412, 0.230], [0.822, 0.588, 0.770], [0.333, 0.833, 0.500], [0.667, 0.167, 0.500]]}



[4]
{"formula": "RbIn2Re", "functional": "PBE", "state": "relaxed", "cell": [[0.000, 3.714, 3.714], [3.714, 0.000, 3.714], [3.714, 3.714, 0.000]], "species": ["Rb", "In", "In", "Re"], "fractional_positions": [[0.000, 0.000, 0.000], [0.250, 0.250, 0.250], [0.750, 0.750, 0.750], [0.500, 0.500, 0.500]]}



[5]
{"formula": "RbInRe2", "functional": "PBE", "state": "relaxed", "cell": [[-4.197, 4.197, 2.674], [4.197, -4.197, 2.674], [4.197, 4.197, -2.674]], "species": ["Rb", "Rb", "In", "In", "Re", "Re", "Re", "Re"], "fractional_positions": [[0.000, 0.000, 0.000], [0.750, 0.250, 0.500], [0.250, 0.750, 0.500], [0.500, 0.500, 0.000], [0.167, 0.625, 0.042], [0.375, 0.417, 0.542], [0.583, 0.125, 0.958], [0.875, 0.833, 0.458]]}



[6]
{"formula": "Rb2InRe", "functional": "PBE", "state": "relaxed", "cell": [[-2.172, 2.172, 12.623], [2.172, -2.172, 12.623], [2.172, 2.172, -12.623]], "species": ["Rb", "Rb", "Rb", "Rb", "In", "In", "Re", "Re"], "fractional_positions": [[0.122, 0.625, 0.997], [0.375, 0.372, 0.497], [0.628, 0.125, 0.003], [0.875, 0.878, 0.503], [0.250, 0.750, 0.500], [0.500, 0.500, 0.000], [0.000, 0.000, 0.000], [0.750, 0.250, 0.500]]}



[7]
{"formula": "RbIn2Re", "functional": "PBE", "state": "relaxed", "cell": [[-3.227, 3.227, 8.260], [3.227, -3.227, 8.260], [3.227, 3.227, -8.260]], "species": ["Rb", "Rb", "In", "In", "In", "In", "Re", "Re"], "fractional_positions": [[0.375, 0.625, 0.750], [0.625, 0.375, 0.250], [0.000, 0.000, 0.000], [0.000, 0.000, 0.500], [0.000, 0.500, 0.000], [0.500, 0.000, 0.500], [0.125, 0.875, 0.250], [0.875, 0.125, 0.750]]}



[8]
{"formula": "RbInReRh2", "functional": "PBE", "state": "relaxed", "cell": [[5.095, 0.000, 0.000], [0.000, 5.095, 0.000], [0.000, 0.000, 5.192]], "species": ["Rb", "In", "Re", "Rh", "Rh"], "fractional_positions": [[0.000, 0.000, 0.000], [0.500, 0.500, 0.500], [0.500, 0.500, 0.000], [0.000, 0.500, 0.500], [0.500, 0.000, 0.500]]}



[9]
{"formula": "RbTlIn2Re", "functional": "PBE", "state": "relaxed", "cell": [[6.133, 0.000, 0.000], [0.000, 6.133, 0.000], [0.000, 0.000, 6.114]], "species": ["Rb", "Tl", "In", "In", "Re"], "fractional_positions": [[0.000, 0.000, 0.000], [0.000, 0.000, 0.500], [0.000, 0.500, 0.000], [0.500, 0.000, 0.000], [0.500, 0.500, 0.500]]}



[10]
{"formula": "RbIn2Rh2", "functional": "PBE", "state": "relaxed", "cell": [[8.197, 0.000, 0.000], [0.000, 8.197, 0.000], [0.000, 0.000, 3.101]], "species": ["Rb", "Rb", "In", "In", "In", "In", "Rh", "Rh", "Rh", "Rh"], "fractional_positions": [[0.000, 0.000, 0.000], [0.500, 0.500, 0.000], [0.145, 0.355, 0.500], [0.355, 0.855, 0.500], [0.645, 0.145, 0.500], [0.855, 0.645, 0.500], [0.143, 0.643, 0.000], [0.357, 0.143, 0.000], [0.643, 0.857, 0.000], [0.857, 0.357, 0.000]]}



[11]
{"formula": "RbIn2Rh", "functional": "PBE", "state": "relaxed", "cell": [[0.000, 3.683, 3.683], [3.683, 0.000, 3.683], [3.683, 3.683, 0.000]], "species": ["Rb", "In", "In", "Rh"], "fractional_positions": [[0.000, 0.000, 0.000], [0.250, 0.250, 0.250], [0.750, 0.750, 0.750], [0.500, 0.500, 0.500]]}



[12]
{"formula": "Rb2In4Rh", "functional": "PBE", "state": "relaxed", "cell": [[-2.607, 2.607, 9.808], [2.607, -2.607, 9.808], [2.607, 2.607, -9.808]], "species": ["Rb", "Rb", "In", "In", "In", "In", "Rh"], "fractional_positions": [[0.169, 0.169, 0.000], [0.831, 0.831, 0.000], [0.000, 0.500, 0.500], [0.367, 0.367, 0.000], [0.500, 0.000, 0.500], [0.633, 0.633, 0.000], [0.500, 0.500, 0.000]]}



[13]
{"formula": "Rb2InRh", "functional": "PBE", "state": "relaxed", "cell": [[-6.201, 6.201, 2.570], [6.201, -6.201, 2.570], [6.201, 6.201, -2.570]], "species": ["Rb", "Rb", "Rb", "Rb", "In", "In", "Rh", "Rh"], "fractional_positions": [[0.375, 0.203, 0.328], [0.797, 0.125, 0.172], [0.875, 0.047, 0.672], [0.953, 0.625, 0.828], [0.250, 0.750, 0.500], [0.500, 0.500, 0.000], [0.000, 0.000, 0.000], [0.750, 0.250, 0.500]]}



[14]
{"formula": "RbIn2Rh", "functional": "PBE", "state": "relaxed", "cell": [[-3.237, 3.237, 7.854], [3.237, -3.237, 7.854], [3.237, 3.237, -7.854]], "species": ["Rb", "Rb", "In", "In", "In", "In", "Rh", "Rh"], "fractional_positions": [[0.375, 0.625, 0.750], [0.625, 0.375, 0.250], [0.000, 0.000, 0.000], [0.000, 0.000, 0.500], [0.000, 0.500, 0.000], [0.500, 0.000, 0.500], [0.125, 0.875, 0.250], [0.875, 0.125, 0.750]]}



[15]
{"formula": "RbIn2Rh", "functional": "PBE", "state": "relaxed", "cell": [[2.272, 1.312, 6.929], [-2.272, 1.312, 6.929], [0.000, -2.624, 6.929]], "species": ["Rb", "In", "In", "Rh"], "fractional_positions": [[0.000, 0.000, 0.000], [0.205, 0.205, 0.205], [0.795, 0.795, 0.795], [0.500, 0.500, 0.500]]}



[16]
{"formula": "RbInRh2", "functional": "PBE", "state": "relaxed", "cell": [[-2.476, 2.476, 9.319], [2.476, -2.476, 9.319], [2.476, 2.476, -9.319]], "species": ["Rb", "Rb", "In", "In", "Rh", "Rh", "Rh", "Rh"], "fractional_positions": [[0.000, 0.000, 0.000], [0.750, 0.250, 0.500], [0.250, 0.750, 0.500], [0.500, 0.500, 0.000], [0.304, 0.625, 0.179], [0.375, 0.554, 0.679], [0.446, 0.125, 0.821], [0.875, 0.696, 0.321]]}



[17]
{"formula": "RbIn2Rh2", "functional": "PBE", "state": "relaxed", "cell": [[-2.306, 2.306, 5.860], [2.306, -2.306, 5.860], [2.306, 2.306, -5.860]], "species": ["Rb", "In", "In", "Rh", "Rh"], "fractional_positions": [[0.000, 0.000, 0.000], [0.364, 0.364, 0.000], [0.636, 0.636, 0.000], [0.250, 0.750, 0.500], [0.750, 0.250, 0.500]]}



[18]
{"formula": "RbScInRh2", "functional": "PBE", "state": "relaxed", "cell": [[4.877, 0.000, 0.000], [0.000, 4.877, 0.000], [0.000, 0.000, 5.537]], "species": ["Rb", "Sc", "In", "Rh", "Rh"], "fractional_positions": [[0.000, 0.000, 0.000], [0.500, 0.500, 0.500], [0.000, 0.000, 0.500], [0.000, 0.500, 0.000], [0.500, 0.000, 0.000]]}



[19]
{"formula": "RbSr2InRh", "functional": "PBE", "state": "relaxed", "cell": [[5.916, 0.000, 0.000], [0.000, 5.916, 0.000], [0.000, 0.000, 5.406]], "species": ["Rb", "Sr", "Sr", "In", "Rh"], "fractional_positions": [[0.000, 0.000, 0.000], [0.000, 0.500, 0.500], [0.500, 0.000, 0.500], [0.500, 0.500, 0.000], [0.500, 0.500, 0.500]]}



[20]
{"formula": "RbSrIn2Rh", "functional": "PBE", "state": "relaxed", "cell": [[5.347, 0.000, 0.000], [0.000, 5.347, 0.000], [0.000, 0.000, 5.679]], "species": ["Rb", "Sr", "In", "In", "Rh"], "fractional_positions": [[0.000, 0.000, 0.000], [0.500, 0.500, 0.000], [0.000, 0.500, 0.500], [0.500, 0.000, 0.500], [0.500, 0.500, 0.500]]}



[21]
{"formula": "RbTlIn2Rh", "functional": "PBE", "state": "relaxed", "cell": [[5.270, 0.000, 0.000], [0.000, 5.270, 0.000], [0.000, 0.000, 5.398]], "species": ["Rb", "Tl", "In", "In", "Rh"], "fractional_positions": [[0.000, 0.000, 0.000], [0.500, 0.500, 0.000], [0.000, 0.500, 0.500], [0.500, 0.000, 0.500], [0.500, 0.500, 0.500]]}



[22]
{"formula": "RbZnInRh2", "functional": "PBE", "state": "relaxed", "cell": [[5.037, 0.000, 0.000], [0.000, 5.037, 0.000], [0.000, 0.000, 6.243]], "species": ["Rb", "Zn", "In", "Rh", "Rh"], "fractional_positions": [[0.000, 0.000, 0.000], [0.500, 0.500, 0.000], [0.000, 0.000, 0.500], [0.000, 0.500, 0.500], [0.500, 0.000, 0.500]]}



[23]
{"formula": "RbInRu2", "functional": "PBE", "state": "relaxed", "cell": [[-2.417, 2.417, 9.705], [2.417, -2.417, 9.705], [2.417, 2.417, -9.705]], "species": ["Rb", "Rb", "In", "In", "Ru", "Ru", "Ru", "Ru"], "fractional_positions": [[0.000, 0.000, 0.000], [0.750, 0.250, 0.500], [0.250, 0.750, 0.500], [0.500, 0.500, 0.000], [0.361, 0.625, 0.236], [0.375, 0.611, 0.736], [0.389, 0.125, 0.764], [0.875, 0.639, 0.264]]}



[24]
{"formula": "RbInRu3", "functional": "PBE", "state": "relaxed", "cell": [[5.101, 0.000, 0.000], [0.000, 5.101, 0.000], [0.000, 0.000, 5.101]], "species": ["Rb", "In", "Ru", "Ru", "Ru"], "fractional_positions": [[0.000, 0.000, 0.000], [0.500, 0.500, 0.500], [0.000, 0.500, 0.500], [0.500, 0.000, 0.500], [0.500, 0.500, 0.000]]}



[25]
{"formula": "Rb2InRu", "functional": "PBE", "state": "relaxed", "cell": [[-6.347, 6.347, 2.595], [6.347, -6.347, 2.595], [6.347, 6.347, -2.595]], "species": ["Rb", "Rb", "Rb", "Rb", "In", "In", "Ru", "Ru"], "fractional_positions": [[0.375, 0.060, 0.185], [0.810, 0.625, 0.685], [0.875, 0.190, 0.815], [0.940, 0.125, 0.315], [0.250, 0.750, 0.500], [0.500, 0.500, 0.000], [0.000, 0.000, 0.000], [0.750, 0.250, 0.500]]}



[26]
{"formula": "RbInRu3", "functional": "PBE", "state": "relaxed", "cell": [[4.883, 0.000, 0.000], [0.000, 4.883, 0.000], [0.000, 0.000, 4.883]], "species": ["Rb", "In", "Ru", "Ru", "Ru"], "fractional_positions": [[0.000, 0.000, 0.000], [0.500, 0.500, 0.500], [0.000, 0.000, 0.500], [0.000, 0.500, 0.000], [0.500, 0.000, 0.000]]}



Record order is preserved below.
E: -1.866, -2.434, -1.945, -3.604, -5.012, -2.814, -3.838, -4.512, -2.111, -4.328, -3.106, -2.979, -2.764, -3.451, -3.581, -4.117, -4.252, -3.351, -3.066, -3.331, -3.387, -2.941, -4.591, -4.455, -2.787, -3.560 eV/atom
Record order is preserved below.
Formation energy: -13, -75, -92, 1119, 2139, 1466, 885, 1660, 2140, -99, 343, -88, 242, -2, -132, 485, -23, 1598, -181, -235, -154, 996, 973, 1852, 700, 2747 meV/atom